# 1
Computed, not measured: a crystal of NaNdTl2 relaxed with PBEsol at the meta-GGA SCAN level of DFT.

Properties
**ΔH_f (0 K)**: -0.454 eV/atom
**Crystal system**: cubic

abc: 7.5232 7.5232 7.5232
angles: 90.00 90.00 90.00
Space group Fm-3m (No. 225)
Inequivalent atoms, fractional coordinates:
Na 0.0000 0.0000 0.0000 [4 per cell]
Nd 0.0000 0.0000 0.5000 [4 per cell]
Tl 0.2500 0.2500 0.2500 [8 per cell]

# 2
Computed, not measured: a crystal of Na2Ni3O7 relaxed with PBEsol at the meta-GGA SCAN level of DFT.

Properties
**Raw total energy**: -9.64 eV per atom
**Crystal system**: triclinic

abc: 6.4829 7.1056 7.4655
angles: 102.92 109.42 113.39
Space group P1 (No. 1)
Inequivalent atoms, fractional coordinates:
Na 0.0000 0.0000 0.0000 [1 per cell]
Na 0.1430 0.6571 0.1405 [1 per cell]
Na 0.4627 0.9513 0.7852 [1 per cell]
Na 0.7872 0.2988 0.6100 [1 per cell]
Ni 0.1380 0.1440 0.7124 [1 per cell]
Ni 0.2802 0.2897 0.4293 [1 per cell]
Ni 0.4315 0.4288 0.1432 [1 per cell]
Ni 0.5654 0.5681 0.8566 [1 per cell]
Ni 0.7096 0.7129 0.5695 [1 per cell]
Ni 0.8514 0.8585 0.2871 [1 per cell]
O 0.0081 0.8430 0.5438 [1 per cell]
O 0.1585 0.3448 0.1962 [1 per cell]
O 0.1656 0.9898 0.2946 [1 per cell]
O 0.2669 0.4427 0.8887 [1 per cell]
O 0.3297 0.1486 0.9598 [1 per cell]
O 0.4167 0.5924 0.6058 [1 per cell]
O 0.4332 0.2680 0.6820 [1 per cell]
O 0.5576 0.7282 0.3162 [1 per cell]
O 0.5754 0.4114 0.3963 [1 per cell]
O 0.6611 0.8476 0.0345 [1 per cell]
O 0.7297 0.5610 0.1131 [1 per cell]
O 0.8219 0.0137 0.7076 [1 per cell]
O 0.8380 0.6522 0.8015 [1 per cell]
O 0.9837 0.1612 0.4567 [1 per cell]

# 3
Computed, not measured: a crystal of Na4Ni9O18 relaxed with PBEsol at the meta-GGA SCAN level of DFT.

Properties
**Raw total energy**: -10.17 eV per atom
**Crystal system**: triclinic

abc: 7.0025 7.0320 7.4362
angles: 90.72 103.38 105.54
Space group P1 (No. 1)
Inequivalent atoms, fractional coordinates:
Na 0.0000 0.0000 0.0000 [1 per cell]
Na 0.1005 0.0972 0.6002 [1 per cell]
Na 0.4832 0.4838 0.6755 [1 per cell]
Na 0.5849 0.5822 0.2765 [1 per cell]
Ni 0.0175 0.5131 0.4705 [1 per cell]
Ni 0.1306 0.6203 0.1391 [1 per cell]
Ni 0.2335 0.7331 0.8049 [1 per cell]
Ni 0.3510 0.8486 0.4715 [1 per cell]
Ni 0.4540 0.9614 0.1372 [1 per cell]
Ni 0.5670 0.0686 0.8058 [1 per cell]
Ni 0.6805 0.1821 0.4721 [1 per cell]
Ni 0.7922 0.2910 0.1381 [1 per cell]
Ni 0.9039 0.3998 0.8042 [1 per cell]
O 0.0283 0.3480 0.0437 [1 per cell]
O 0.1133 0.7796 0.5615 [1 per cell]
O 0.1422 0.4632 0.7092 [1 per cell]
O 0.2215 0.8921 0.2314 [1 per cell]
O 0.2767 0.5848 0.3782 [1 per cell]
O 0.3079 0.9969 0.8982 [1 per cell]
O 0.3630 0.6896 0.0449 [1 per cell]
O 0.4421 0.1184 0.5672 [1 per cell]
O 0.4713 0.8019 0.7149 [1 per cell]
O 0.5561 0.2338 0.2325 [1 per cell]
O 0.5872 0.9163 0.3773 [1 per cell]
O 0.6677 0.3360 0.8964 [1 per cell]
O 0.6884 0.0231 0.0450 [1 per cell]
O 0.7625 0.4452 0.5668 [1 per cell]
O 0.8219 0.1367 0.7096 [1 per cell]
O 0.8961 0.5588 0.2314 [1 per cell]
O 0.9167 0.2458 0.3798 [1 per cell]
O 0.9974 0.6656 0.8991 [1 per cell]